Entry 1:
Material: BaBeCl
Method: DFT, PBE-GGA
State: relaxed

Values from the calculation:
excess energy over the best structure of this formula in the dataset	0.667	eV per atom

Unit cell a=7.345 b=7.345 c=7.345 alpha=90.00 beta=90.00 gamma=90.00
Space group F-43m (No. 216)
Inequivalent atoms, fractional coordinates:
Ba 0.000 0.000 0.000 [4 per cell]
Be 0.000 0.000 0.500 [4 per cell]
Cl 0.250 0.250 0.750 [4 per cell]


Entry 2:
Material: ZrHI2
Method: DFT, PBE-GGA
State: relaxed

Values from the calculation:
VASP energy	-4.3728	eV per atom

Unit cell a=3.7225 b=3.7225 c=25.2031 alpha=90.00 beta=90.00 gamma=120.00
Space group R3m (No. 160, hexagonal axes)
Inequivalent atoms, fractional coordinates:
Zr 0.0000 0.0000 0.0000 [3 per cell]
H 0.0000 0.0000 0.3333 [3 per cell]
I 0.0000 0.0000 0.5808 [3 per cell]
I 0.0000 0.0000 0.7525 [3 per cell]


Entry 3:
Material: SnTe2C
Method: DFT, PBE-GGA
State: relaxed

Values from the calculation:
excess energy over the best structure of this formula in the dataset	0.601	eV per atom

Unit cell a=7.188 b=7.188 c=7.188 alpha=90.00 beta=90.00 gamma=90.00
Space group Fm-3m (No. 225)
Inequivalent atoms, fractional coordinates:
Sn 0.000 0.000 0.000 [4 per cell]
Te 0.250 0.250 0.250 [8 per cell]
C 0.000 0.000 0.500 [4 per cell]


no.,volume (Å³ per cell)
1,396.2
2,302.5
3,371.4